Here is SiSnBi3 after structural relaxation from Alexandria. Energies are from PBEsol.

Lattice parameters (Å, degrees): 5.661 5.661 5.661 90.00 90.00 90.00
Positions (direct):
Si  0.500  0.500  0.500
Bi  0.000  0.500  0.000
Bi  0.000  0.000  0.500
Bi  0.500  0.000  0.000
Sn  0.000  0.000  0.000

**Space-group type**: Pm-3m
**Calculated total energy**: -17.28 eV per formula unit
**Crystal system**: cubic
**Formation energy from raw total energies**: 1.1172 eV per atom

Here is SiTc3Bi after structural relaxation from Alexandria. Energies are from PBEsol.

Lattice parameters (Å, degrees): 4.911 4.911 4.911 90.00 90.00 90.00
Positions (direct):
Si  0.500  0.500  0.500
Bi  0.000  0.000  0.000
Tc  0.000  0.500  0.000
Tc  0.000  0.000  0.500
Tc  0.500  0.000  0.000

**Space-group type**: Pm-3m
**Calculated total energy**: -30.40 eV per formula unit
**Crystal system**: cubic
**Formation energy from raw total energies**: 2.6859 eV per atom

Here is Si2BiTeW after structural relaxation from Alexandria. Energies are from PBEsol.

Lattice parameters (Å, degrees): 5.231 5.231 5.296 90.00 90.00 90.00
Positions (direct):
Si  0.000  0.500  0.000
Si  0.500  0.000  0.000
Te  0.500  0.500  0.500
Bi  0.000  0.000  0.000
W  0.000  0.000  0.500

**Space-group type**: P4/mmm
**Calculated total energy**: -22.77 eV per formula unit
**Crystal system**: tetragonal
**Formation energy from raw total energies**: 2.0693 eV per atom

Here is TiSi3Bi after structural relaxation from Alexandria. Energies are from PBEsol.

Lattice parameters (Å, degrees): 5.178 5.178 5.178 90.00 90.00 90.00
Positions (direct):
Si  0.000  0.500  0.000
Si  0.000  0.000  0.500
Si  0.500  0.000  0.000
Bi  0.000  0.000  0.000
Ti  0.500  0.500  0.500

**Space-group type**: Pm-3m
**Calculated total energy**: -21.01 eV per formula unit
**Crystal system**: cubic
**Formation energy from raw total energies**: 1.7669 eV per atom